## BaZr2Ru (PBE-GGA)

Data for a relaxed BaZr2Ru crystal.

Calculated values
Energy relative to the elements ... 0.7976 eV per atom
Energy above the lowest structure with this stoichiometry ... 718 meV/atom

The structure in CIF format:
```
data_BaZr2Ru
_space_group_name_H-M_alt 'P 1'
_space_group_IT_number 1
_space_group_name_Hall 'P 1'
_cell_length_a 9.5057
_cell_length_b 9.5057
_cell_length_c 9.5057
_cell_angle_alpha 145.42
_cell_angle_beta 145.42
_cell_angle_gamma 49.71
loop_
_atom_site_label
_atom_site_type_symbol
_atom_site_fract_x
_atom_site_fract_y
_atom_site_fract_z
_atom_site_occupancy
Ba1 Ba 0.3750 0.6250 0.7500 1
Ba2 Ba 0.6250 0.3750 0.2500 1
Zr1 Zr 0.0000 0.0000 0.0000 1
Zr2 Zr 0.0000 0.0000 0.5000 1
Zr3 Zr 0.0000 0.5000 0.0000 1
Zr4 Zr 0.5000 0.0000 0.5000 1
Ru1 Ru 0.1250 0.8750 0.2500 1
Ru2 Ru 0.8750 0.1250 0.7500 1
```

***

## NbAlCdIr2 (PBE-GGA)

Data for a relaxed NbAlCdIr2 crystal.

Calculated values
Energy relative to the elements ... 1.3202 eV per atom

The structure in CIF format:
```
data_NbAlCdIr2
_space_group_name_H-M_alt 'P 1'
_space_group_IT_number 1
_space_group_name_Hall 'P 1'
_cell_length_a 4.7822
_cell_length_b 4.7822
_cell_length_c 5.4021
_cell_angle_alpha 90.00
_cell_angle_beta 90.00
_cell_angle_gamma 90.00
loop_
_atom_site_label
_atom_site_type_symbol
_atom_site_fract_x
_atom_site_fract_y
_atom_site_fract_z
_atom_site_occupancy
Nb1 Nb 0.0000 0.0000 0.0000 1
Al1 Al 0.5000 0.5000 0.5000 1
Cd1 Cd 0.0000 0.0000 0.5000 1
Ir1 Ir 0.0000 0.5000 0.0000 1
Ir2 Ir 0.5000 0.0000 0.0000 1
```

***

## C3Se2 (PBE-GGA)

Data for a relaxed C3Se2 crystal.

Calculated values
Uncorrected formation energy ... 1607 meV/atom
Energy above the lowest structure with this stoichiometry ... 256 meV/atom

The structure in CIF format:
```
data_C3Se2
_space_group_name_H-M_alt 'P 1'
_space_group_IT_number 1
_space_group_name_Hall 'P 1'
_cell_length_a 7.4202
_cell_length_b 5.8066
_cell_length_c 9.0674
_cell_angle_alpha 54.68
_cell_angle_beta 39.68
_cell_angle_gamma 85.64
loop_
_atom_site_label
_atom_site_type_symbol
_atom_site_fract_x
_atom_site_fract_y
_atom_site_fract_z
_atom_site_occupancy
C1 C 0.0000 0.0000 0.0000 1
C2 C 0.2500 0.2500 0.2500 1
C3 C 0.2546 0.3056 0.6085 1
C4 C 0.3056 0.2546 0.8313 1
C5 C 0.4187 0.6415 0.9444 1
C6 C 0.6415 0.4187 0.9954 1
Se1 Se 0.4469 0.7744 0.4644 1
Se2 Se 0.7744 0.4469 0.3143 1
Se3 Se 0.7856 0.9357 0.8031 1
Se4 Se 0.9357 0.7856 0.4756 1
```

***

## CsRb2PrI6 (PBE-GGA)

Data for a relaxed CsRb2PrI6 crystal.

Calculated values
Uncorrected formation energy ... -1485 meV/atom

The structure in CIF format:
```
data_CsRb2PrI6
_space_group_name_H-M_alt 'P 1'
_space_group_IT_number 1
_space_group_name_Hall 'P 1'
_cell_length_a 9.5606
_cell_length_b 9.5606
_cell_length_c 9.5606
_cell_angle_alpha 57.18
_cell_angle_beta 57.18
_cell_angle_gamma 57.18
loop_
_atom_site_label
_atom_site_type_symbol
_atom_site_fract_x
_atom_site_fract_y
_atom_site_fract_z
_atom_site_occupancy
Cs1 Cs 0.0000 0.0000 0.0000 1
Rb1 Rb 0.2864 0.2864 0.2864 1
Rb2 Rb 0.7983 0.7983 0.7983 1
Pr1 Pr 0.4900 0.4900 0.4900 1
I1 I 0.1374 0.6796 0.4042 1
I2 I 0.2532 0.5946 0.8345 1
I3 I 0.4042 0.1374 0.6796 1
I4 I 0.5946 0.8345 0.2532 1
I5 I 0.6796 0.4042 0.1374 1
I6 I 0.8345 0.2532 0.5946 1
```

***

## In2AuBr (PBE-GGA)

Data for a relaxed In2AuBr crystal.

Calculated values
Uncorrected formation energy ... -263 meV/atom
Energy above the lowest structure with this stoichiometry ... 81 meV/atom

The structure in CIF format:
```
data_In2AuBr
_space_group_name_H-M_alt 'P 1'
_space_group_IT_number 1
_space_group_name_Hall 'P 1'
_cell_length_a 3.6730
_cell_length_b 3.6730
_cell_length_c 7.6504
_cell_angle_alpha 90.00
_cell_angle_beta 90.00
_cell_angle_gamma 90.00
loop_
_atom_site_label
_atom_site_type_symbol
_atom_site_fract_x
_atom_site_fract_y
_atom_site_fract_z
_atom_site_occupancy
In1 In 0.0000 0.0000 0.2156 1
In2 In 0.0000 0.0000 0.7844 1
Au1 Au 0.5000 0.5000 0.0000 1
Br1 Br 0.5000 0.5000 0.5000 1
```

***

## SrAcPrSn (PBE-GGA)

Data for a relaxed SrAcPrSn crystal.

Calculated values
Energy relative to the elements ... -0.1680 eV per atom

The structure in CIF format:
```
data_SrAcPrSn
_space_group_name_H-M_alt 'P 1'
_space_group_IT_number 1
_space_group_name_Hall 'P 1'
_cell_length_a 5.8498
_cell_length_b 5.8498
_cell_length_c 5.8498
_cell_angle_alpha 60.00
_cell_angle_beta 60.00
_cell_angle_gamma 60.00
loop_
_atom_site_label
_atom_site_type_symbol
_atom_site_fract_x
_atom_site_fract_y
_atom_site_fract_z
_atom_site_occupancy
Sr1 Sr 0.0000 0.0000 0.0000 1
Ac1 Ac 0.7500 0.7500 0.7500 1
Pr1 Pr 0.2500 0.2500 0.2500 1
Sn1 Sn 0.5000 0.5000 0.5000 1
```

***

## ScTaMo2 (PBE-GGA)

Data for a relaxed ScTaMo2 crystal.

Calculated values
Energy relative to the elements ... 0.0720 eV per atom
Energy above the lowest structure with this stoichiometry ... 61 meV/atom

The structure in CIF format:
```
data_ScTaMo2
_space_group_name_H-M_alt 'P 1'
_space_group_IT_number 1
_space_group_name_Hall 'P 1'
_cell_length_a 2.8914
_cell_length_b 2.8914
_cell_length_c 9.0183
_cell_angle_alpha 90.00
_cell_angle_beta 90.00
_cell_angle_gamma 110.89
loop_
_atom_site_label
_atom_site_type_symbol
_atom_site_fract_x
_atom_site_fract_y
_atom_site_fract_z
_atom_site_occupancy
Sc1 Sc 0.0000 0.0000 0.0000 1
Ta1 Ta 0.0000 0.0000 0.5000 1
Mo1 Mo 0.5000 0.5000 0.2606 1
Mo2 Mo 0.5000 0.5000 0.7394 1
```

***

## Zn5Cu4Ni (PBE-GGA)

Data for a relaxed Zn5Cu4Ni crystal.

Calculated values
Energy relative to the elements ... -0.1141 eV per atom

The structure in CIF format:
```
data_Zn5Cu4Ni
_space_group_name_H-M_alt 'P 1'
_space_group_IT_number 1
_space_group_name_Hall 'P 1'
_cell_length_a 2.9592
_cell_length_b 2.9592
_cell_length_c 14.6614
_cell_angle_alpha 90.00
_cell_angle_beta 90.00
_cell_angle_gamma 90.00
loop_
_atom_site_label
_atom_site_type_symbol
_atom_site_fract_x
_atom_site_fract_y
_atom_site_fract_z
_atom_site_occupancy
Zn1 Zn 0.0000 0.0000 0.0000 1
Zn2 Zn 0.0000 0.0000 0.2015 1
Zn3 Zn 0.0000 0.0000 0.4045 1
Zn4 Zn 0.0000 0.0000 0.5955 1
Zn5 Zn 0.0000 0.0000 0.7985 1
Cu1 Cu 0.5000 0.5000 0.1004 1
Cu2 Cu 0.5000 0.5000 0.3036 1
Cu3 Cu 0.5000 0.5000 0.6964 1
Cu4 Cu 0.5000 0.5000 0.8996 1
Ni1 Ni 0.5000 0.5000 0.5000 1
```